A plane-wave DFT calculation with PBE was carried out for an optimized crystal structure of AcGaPt2Au.

Cell lengths 6.9797, 6.9797, 6.1658 Å; angles 90.00, 90.00, 132.15 degrees
Fractional coordinates of all 10 atoms:
Ac1 0.2500 0.7500 0.7766
Ac2 0.7500 0.2500 0.2234
Ga1 0.2500 0.2500 0.5000
Ga2 0.7500 0.7500 0.5000
Pt1 0.1452 0.8548 0.3174
Pt2 0.3548 0.6452 0.3174
Pt3 0.6452 0.3548 0.6826
Pt4 0.8548 0.1452 0.6826
Au1 0.0000 0.0000 0.0000
Au2 0.5000 0.5000 0.0000

A plane-wave DFT calculation with PBE was carried out for an optimized crystal structure of Ac2Ga3Pt4Au.

Cell lengths 4.4323, 4.4323, 10.8031 Å; angles 90.00, 90.00, 90.00 degrees
Fractional coordinates of all 10 atoms:
Ac1 0.0000 0.5000 0.2488
Ac2 0.5000 0.0000 0.7512
Ga1 0.0000 0.0000 0.0000
Ga2 0.0000 0.5000 0.6175
Ga3 0.5000 0.0000 0.3825
Pt1 0.0000 0.0000 0.5000
Pt2 0.0000 0.5000 0.8485
Pt3 0.5000 0.0000 0.1515
Pt4 0.5000 0.5000 0.5000
Au1 0.5000 0.5000 0.0000

A plane-wave DFT calculation with PBE was carried out for an optimized crystal structure of Ac2PuGa3Au4.

Cell lengths 4.5912, 4.5912, 11.4543 Å; angles 90.00, 90.00, 90.00 degrees
Fractional coordinates of all 10 atoms:
Ac1 0.0000 0.5000 0.2271
Ac2 0.5000 0.0000 0.7729
Pu1 0.0000 0.0000 0.5000
Ga1 0.0000 0.5000 0.8830
Ga2 0.5000 0.0000 0.1170
Ga3 0.5000 0.5000 0.5000
Au1 0.0000 0.0000 0.0000
Au2 0.0000 0.5000 0.6589
Au3 0.5000 0.0000 0.3411
Au4 0.5000 0.5000 0.0000

A plane-wave DFT calculation with PBE was carried out for an optimized crystal structure of Ac2PuGa3Au12.

Cell lengths 11.1454, 11.1454, 11.1454 Å; angles 36.21, 36.21, 36.21 degrees
Fractional coordinates of all 18 atoms:
Ac1 0.1373 0.1373 0.1373
Ac2 0.8627 0.8627 0.8627
Pu1 0.5000 0.5000 0.5000
Ga1 0.0000 0.5000 0.5000
Ga2 0.5000 0.0000 0.5000
Ga3 0.5000 0.5000 0.0000
Au1 0.0634 0.6299 0.6299
Au2 0.0932 0.0932 0.6834
Au3 0.0932 0.6834 0.0932
Au4 0.3166 0.9068 0.9068
Au5 0.3701 0.3701 0.9366
Au6 0.3701 0.9366 0.3701
Au7 0.6299 0.0634 0.6299
Au8 0.6299 0.6299 0.0634
Au9 0.6834 0.0932 0.0932
Au10 0.9068 0.3166 0.9068
Au11 0.9068 0.9068 0.3166
Au12 0.9366 0.3701 0.3701

no.,DOS at the Fermi energy (states/eV/cell),energy relative to the elements (kJ per mole of atoms),DFT total energy (eV/atom)
1,2.994,-69.5,-5.2196
2,4.821,-87.0,-5.3757
3,13.520,-56.8,-5.0624
4,16.601,-28.6,-4.2387